(1)
The following is a DFT calculation (PBE-GGA) of a relaxed structure of Bi2TeS.

SG: P1 (1)

Lattice parameters (Å, degrees): 3.843 6.051 6.066 84.61 72.53 72.84
Positions (direct):
Bi 0.000 0.000 0.000
Bi 0.457 0.528 0.528
Te 0.727 0.519 0.010
S 0.230 0.981 0.548

---

(2)
The following is a DFT calculation (PBE-GGA) of a relaxed structure of Bi2TeS.

SG: I-42d (122)

Lattice parameters (Å, degrees): 6.809 6.809 6.809 107.35 107.35 113.81
Positions (direct):
Bi 0.098 0.625 0.973
Bi 0.375 0.348 0.473
Bi 0.652 0.125 0.027
Bi 0.875 0.902 0.527
Te 0.250 0.750 0.500
Te 0.500 0.500 0.000
S 0.000 0.000 0.000
S 0.750 0.250 0.500

---

(3)
The following is a DFT calculation (PBE-GGA) of a relaxed structure of Bi2TeS6.

SG: P4_2/mnm (136)

Lattice parameters (Å, degrees): 6.290 6.290 12.538 90.00 90.00 90.00
Positions (direct):
Bi 0.000 0.000 0.166
Bi 0.000 0.000 0.834
Bi 0.500 0.500 0.334
Bi 0.500 0.500 0.666
Te 0.000 0.000 0.500
Te 0.500 0.500 0.000
S 0.188 0.188 0.341
S 0.188 0.188 0.659
S 0.207 0.207 0.000
S 0.293 0.707 0.500
S 0.312 0.688 0.159
S 0.312 0.688 0.841
S 0.688 0.312 0.159
S 0.688 0.312 0.841
S 0.707 0.293 0.500
S 0.793 0.793 0.000
S 0.812 0.812 0.341
S 0.812 0.812 0.659

---

(4)
The following is a DFT calculation (PBE-GGA) of a relaxed structure of BiTe2S5.

SG: Cm (8)

Lattice parameters (Å, degrees): 6.257 6.257 7.848 98.76 98.76 68.78
Positions (direct):
Bi 0.000 0.000 0.000
Te 0.059 0.059 0.508
Te 0.653 0.653 0.155
S 0.243 0.737 0.303
S 0.429 0.921 0.940
S 0.737 0.243 0.303
S 0.878 0.878 0.653
S 0.921 0.429 0.940

---

(5)
The following is a DFT calculation (PBE-GGA) of a relaxed structure of Bi4Te3S3.

SG: R3m (160)

Lattice parameters (Å, degrees): 20.944 20.944 20.944 11.60 11.60 11.60
Positions (direct):
Bi 0.000 0.000 0.000
Bi 0.106 0.106 0.106
Bi 0.497 0.497 0.497
Bi 0.610 0.610 0.610
Te 0.193 0.193 0.193
Te 0.696 0.696 0.696
Te 0.914 0.914 0.914
S 0.305 0.305 0.305
S 0.418 0.418 0.418
S 0.801 0.801 0.801

---

(6)
The following is a DFT calculation (PBE-GGA) of a relaxed structure of Bi2Te2S.

SG: C2/m (12)

Lattice parameters (Å, degrees): 9.575 9.575 4.485 100.20 100.20 26.80
Positions (direct):
Bi 0.138 0.138 0.110
Bi 0.862 0.862 0.890
Te 0.325 0.325 0.326
Te 0.675 0.675 0.674
S 0.000 0.000 0.000

---

(7)
The following is a DFT calculation (PBE-GGA) of a relaxed structure of BiTeS6.

SG: P-1 (2)

Lattice parameters (Å, degrees): 4.008 8.391 8.436 60.42 77.22 77.21
Positions (direct):
Bi 0.000 0.000 0.000
Te 0.000 0.500 0.500
S 0.093 0.628 0.160
S 0.384 0.988 0.260
S 0.385 0.747 0.495
S 0.615 0.253 0.505
S 0.616 0.012 0.740
S 0.907 0.372 0.840

---

(8)
The following is a DFT calculation (PBE-GGA) of a relaxed structure of Bi3Te2S.

SG: P-3m1 (164)

Lattice parameters (Å, degrees): 4.366 4.366 24.987 90.00 90.00 120.00
Positions (direct):
Bi 0.000 0.000 0.118
Bi 0.000 0.000 0.882
Bi 0.333 0.667 0.285
Bi 0.333 0.667 0.535
Bi 0.667 0.333 0.465
Bi 0.667 0.333 0.715
Te 0.000 0.000 0.356
Te 0.000 0.000 0.644
Te 0.333 0.667 0.798
Te 0.667 0.333 0.202
S 0.333 0.667 0.069
S 0.667 0.333 0.931

---

(9)
The following is a DFT calculation (PBE-GGA) of a relaxed structure of Bi2Te2S.

SG: P2_1/m (11)

Lattice parameters (Å, degrees): 6.294 4.442 12.308 90.00 102.11 90.00
Positions (direct):
Bi 0.095 0.250 0.144
Bi 0.283 0.250 0.591
Bi 0.717 0.750 0.409
Bi 0.905 0.750 0.856
Te 0.201 0.750 0.389
Te 0.366 0.750 0.766
Te 0.634 0.250 0.234
Te 0.799 0.250 0.611
S 0.224 0.750 0.045
S 0.776 0.250 0.955

---

(10)
The following is a DFT calculation (PBE-GGA) of a relaxed structure of BiTe2S.

SG: R-3m (166)

Lattice parameters (Å, degrees): 9.202 9.202 9.202 27.69 27.69 27.69
Positions (direct):
Bi 0.000 0.000 0.000
Te 0.405 0.405 0.405
Te 0.595 0.595 0.595
S 0.500 0.500 0.500

---

(11)
The following is a DFT calculation (PBE-GGA) of a relaxed structure of Bi2TeS.

SG: R-3m (166)

Lattice parameters (Å, degrees): 6.820 6.820 6.820 39.84 39.84 39.84
Positions (direct):
Bi 0.236 0.236 0.236
Bi 0.764 0.764 0.764
Te 0.000 0.000 0.000
S 0.500 0.500 0.500

---

(12)
The following is a DFT calculation (PBE-GGA) of a relaxed structure of Bi2TeS4.

SG: I-42m (121)

Lattice parameters (Å, degrees): 8.433 8.433 8.433 139.19 139.19 59.08
Positions (direct):
Bi 0.250 0.750 0.500
Bi 0.750 0.250 0.500
Te 0.000 0.000 0.000
S 0.100 0.641 0.000
S 0.359 0.359 0.459
S 0.641 0.100 0.000
S 0.900 0.900 0.541

---

Record-wise E values, in eV per atom: -3.787 -3.772 -3.852 -3.782 -4.031 -3.699 -3.854 -3.871 -3.838 -3.398 -3.846 -3.818